Material: Cs3BSe4
Method: DFT, PBE
State: relaxed

Calculated values
The uncorrected formation energy comes out at -0.51 eV/atom.

Cell: 5.6497 7.6485 9.0363 Å, 115.04 108.22 90.00°
Positions (direct):
Cs (0.7878, 0.7878, 0.5757)
Cs (0.2122, 0.2122, 0.4243)
Cs (0.0000, 0.5000, 0.0000)
Se (0.4037, 0.7061, 0.8075)
Se (0.5963, 0.8987, 0.1925)
Se (0.4037, 0.1013, 0.8075)
Se (0.5963, 0.2939, 0.1925)
B (0.5000, 0.0000, 0.0000)